SmAlGa2Ni2: optimized geometry, PBE.

## Properties
DOS at the Fermi energy	4.03	states/eV/cell
spin magnetization	0.00	μB per formula unit
DFT total energy	-4.6307	eV/atom
calculated formation energy	-0.28	eV/atom

a b c (Å): 4.345 4.345 5.627
angles (deg): 90.00 90.00 90.00
Space group P4/mmm (No. 123)
One atom of each set of equivalent atoms:
1 Sm 0.000 0.000 0.000
2 Al 0.000 0.000 0.500
3 Ga 0.500 0.500 0.245
4 Ni 0.000 0.500 0.500